This record from the Alexandria database describes a PBEsol-optimized structure of Be2RuSe. The functional is SCAN.

Values from the calculation:
Energy relative to the elements, uncorrected (eV/atom): 0.0889
Volume (Å³/cell): 46.53
Total energy (eV/atom): -15.8141

The structure in CIF format:
```
data_Be2RuSe
_symmetry_space_group_name_H-M 'P 1'
_symmetry_Int_Tables_number 1
_symmetry_space_group_name_Hall 'P 1'
_cell_length_a 3.871
_cell_length_b 3.871
_cell_length_c 3.105
_cell_angle_alpha 90.00
_cell_angle_beta 90.00
_cell_angle_gamma 90.00
loop_
_atom_site_label
_atom_site_type_symbol
_atom_site_fract_x
_atom_site_fract_y
_atom_site_fract_z
Be1 Be 0.000 0.500 0.000
Be2 Be 0.500 0.000 0.000
Ru1 Ru 0.000 0.000 0.500
Se1 Se 0.500 0.500 0.500
```